Entry 1:
{
  "formula": "Li2SnAu",
  "functional": "GGA-PBE",
  "state": "relaxed",
  "lattice": [[4.374, 0.000, 0.000], [0.000, 4.374, 0.000], [0.000, 0.000, 3.595]],
  "species": ["Li", "Li", "Sn", "Au"],
  "frac_coords": [[0.000, 0.500, 0.000], [0.500, 0.000, 0.000], [0.000, 0.000, 0.500], [0.500, 0.500, 0.500]],
  "energy_ev_per_fu": -12.9
}

Entry 2:
{
  "formula": "MnNiCl2",
  "functional": "GGA-PBE",
  "state": "relaxed",
  "lattice": [[3.453, 0.000, 0.000], [0.000, 3.677, 0.000], [-0.528, 0.000, 5.638]],
  "species": ["Mn", "Ni", "Cl", "Cl"],
  "frac_coords": [[0.000, 0.000, 0.000], [0.500, 0.000, 0.500], [0.278, 0.500, 0.259], [0.722, 0.500, 0.741]],
  "energy_ev_per_fu": -18.7,
  "formation_energy_uncorrected_kj_per_mol_atoms": -0.2,
  "e_above_lowest_polymorph_ev_per_fu": 1.550
}

Entry 3:
{
  "formula": "LaPmNi2",
  "functional": "GGA-PBE",
  "state": "relaxed",
  "lattice": [[3.833, 0.000, 0.000], [0.000, 4.368, 0.000], [-1.906, 0.000, 5.310]],
  "species": ["La", "Pm", "Ni", "Ni"],
  "frac_coords": [[0.000, 0.000, 0.000], [0.273, 0.500, 0.544], [0.564, 0.500, 0.128], [0.711, 0.000, 0.421]],
  "energy_ev_per_fu": -22.6,
  "e_above_lowest_polymorph_ev_per_fu": 0.000
}

Entry 4:
{
  "formula": "Rb2Cd2TcO6",
  "functional": "GGA-PBE",
  "state": "relaxed",
  "lattice": [[2.957, -4.942, 0.000], [2.957, 4.942, 0.000], [-2.107, 0.000, 6.467]],
  "species": ["Rb", "Rb", "Cd", "Cd", "Tc", "O", "O", "O", "O", "O", "O"],
  "frac_coords": [[0.175, 0.825, 0.000], [0.825, 0.175, 0.000], [0.337, 0.663, 0.500], [0.663, 0.337, 0.500], [0.000, 0.000, 0.500], [0.055, 0.338, 0.670], [0.217, 0.217, 0.331], [0.338, 0.055, 0.670], [0.662, 0.945, 0.330], [0.783, 0.783, 0.669], [0.945, 0.662, 0.330]],
  "energy_ev_per_fu": -57.6,
  "formation_energy_uncorrected_kj_per_mol_atoms": -120.2
}